ScZnCdIn: optimized geometry, PBE-GGA.

It has space group Pmmm (No. 47), with a = 4.2616 Å, b = 4.3619 Å, c = 4.4084 Å, α = 90.00°, β = 90.00° and γ = 90.00°. The asymmetric unit holds Sc at (0.0000, 0.0000, 0.0000), Zn at (0.5000, 0.0000, 0.5000), Cd at (0.0000, 0.5000, 0.5000) and In at (0.5000, 0.5000, 0.0000).

The value obtained for the raw total energy is -3.07 eV per atom. The crystal system is orthorhombic. The energy of formation comes out at -99 kJ/mol of formula units. Its magnetization is 0.0 μB per formula unit.

Cd3InSe: optimized geometry, PBE-GGA.

It has space group Pm-3m (No. 221), with a = 5.4311 Å, b = 5.4311 Å, c = 5.4311 Å, α = 90.00°, β = 90.00° and γ = 90.00°. The asymmetric unit holds Cd at (0.0000, 0.0000, 0.5000), In at (0.0000, 0.0000, 0.0000) and Se at (0.5000, 0.5000, 0.5000).

The value obtained for the raw total energy is -1.41 eV per atom. The calculation puts the energy relative to the elements, uncorrected at 0.3795 eV per atom. As for the distance to the lowest polymorph of the same formula: 88.4 meV per atom. The crystal system is cubic. Its magnetization is 0.9 μB per formula unit.

CdInSe2: optimized geometry, PBE-GGA.

It has space group P4/mmm (No. 123), with a = 4.1053 Å, b = 4.1053 Å, c = 5.8349 Å, α = 90.00°, β = 90.00° and γ = 90.00°. The asymmetric unit holds Cd at (0.0000, 0.0000, 0.0000), In at (0.5000, 0.5000, 0.5000), Se at (0.0000, 0.0000, 0.5000) and Se at (0.5000, 0.5000, 0.0000).

The value obtained for the raw total energy is -3.13 eV per atom. The calculation puts the energy relative to the elements, uncorrected at -0.4756 eV per atom. The crystal system is tetragonal. Its magnetization is 0.0 μB per formula unit.

Cd3In2Se6: optimized geometry, PBE-GGA.

It has space group R3 (No. 146, hexagonal axes), with a = 7.4638 Å, b = 7.4638 Å, c = 20.8322 Å, α = 90.00°, β = 90.00° and γ = 120.00°. The asymmetric unit holds Cd at (0.0035, 0.3088, 0.0000), In at (0.0000, 0.0000, 0.1658), In at (0.0000, 0.0000, 0.4998), Se at (0.0000, 0.0000, 0.2928), Se at (0.0000, 0.0000, 0.6271), Se at (0.0000, 0.0000, 0.9411) and Se at (0.0003, 0.3226, 0.7955).

The value obtained for the raw total energy is -3.23 eV per atom. The calculation puts the energy relative to the elements, uncorrected at -0.5810 eV per atom. The crystal system is trigonal. Its magnetization is 0.0 μB per formula unit.

CdInSe2: optimized geometry, PBE-GGA.

It has space group Pmmm (No. 47), with a = 3.5564 Å, b = 3.5667 Å, c = 7.3020 Å, α = 90.00°, β = 90.00° and γ = 90.00°. The asymmetric unit holds Cd at (0.0000, 0.0000, 0.0000), In at (0.0000, 0.0000, 0.5000) and Se at (0.5000, 0.5000, 0.2442).

The value obtained for the raw total energy is -2.77 eV per atom. The calculation puts the energy relative to the elements, uncorrected at -0.1102 eV per atom. The crystal system is orthorhombic. Its magnetization is 0.0 μB per formula unit.

Cd3InSe: optimized geometry, PBE-GGA.

It has space group Pm-3m (No. 221), with a = 5.4498 Å, b = 5.4498 Å, c = 5.4498 Å, α = 90.00°, β = 90.00° and γ = 90.00°. The asymmetric unit holds Cd at (0.0000, 0.0000, 0.5000), In at (0.5000, 0.5000, 0.5000) and Se at (0.0000, 0.0000, 0.0000).

The value obtained for the raw total energy is -1.50 eV per atom. The calculation puts the energy relative to the elements, uncorrected at 0.2911 eV per atom. As for the distance to the lowest polymorph of the same formula: 0.0 meV per atom. The crystal system is cubic. Its magnetization is 0.0 μB per formula unit.

CdInSe2: optimized geometry, PBE-GGA.

It has space group Cm (No. 8), with a = 13.6472 Å, b = 3.9819 Å, c = 4.0096 Å, α = 90.00°, β = 90.14° and γ = 90.00°. The asymmetric unit holds Cd at (0.0000, 0.0000, 0.0000), In at (0.1844, 0.5000, 0.5016), Se at (0.2174, 0.0000, 0.0020) and Se at (0.4803, 0.0000, 0.4997).

The value obtained for the raw total energy is -3.06 eV per atom. The calculation puts the energy relative to the elements, uncorrected at -0.4084 eV per atom. The crystal system is monoclinic. Its magnetization is 0.0 μB per formula unit.

CdIn2Se2: optimized geometry, PBE-GGA.

It has space group P4/mbm (No. 127), with a = 8.1313 Å, b = 8.1313 Å, c = 3.8257 Å, α = 90.00°, β = 90.00° and γ = 90.00°. The asymmetric unit holds Cd at (0.0000, 0.0000, 0.0000), In at (0.1504, 0.3496, 0.0000) and Se at (0.1488, 0.6488, 0.5000).

The value obtained for the raw total energy is -2.81 eV per atom. The calculation puts the energy relative to the elements, uncorrected at -0.1354 eV per atom. As for the distance to the lowest polymorph of the same formula: 94.4 meV per atom. The crystal system is tetragonal. Its magnetization is 0.0 μB per formula unit.

CdInSe2: optimized geometry, PBE-GGA.

It has space group P2/m (No. 10), with a = 4.3301 Å, b = 3.8569 Å, c = 7.1614 Å, α = 90.00°, β = 96.36° and γ = 90.00°. The asymmetric unit holds Cd at (0.0000, 0.0000, 0.0000), In at (0.5000, 0.0000, 0.5000) and Se at (0.2103, 0.5000, 0.2547).

The value obtained for the raw total energy is -2.91 eV per atom. The calculation puts the energy relative to the elements, uncorrected at -0.2532 eV per atom. The crystal system is monoclinic. Its magnetization is 0.0 μB per formula unit.

CdInSe2: optimized geometry, PBE-GGA.

It has space group Pmmm (No. 47), with a = 3.7639 Å, b = 4.4866 Å, c = 5.8253 Å, α = 90.00°, β = 90.00° and γ = 90.00°. The asymmetric unit holds Cd at (0.0000, 0.0000, 0.0000), In at (0.5000, 0.5000, 0.0000), Se at (0.0000, 0.5000, 0.5000) and Se at (0.5000, 0.0000, 0.5000).

The value obtained for the raw total energy is -2.53 eV per atom. The calculation puts the energy relative to the elements, uncorrected at 0.1233 eV per atom. The crystal system is orthorhombic. Its magnetization is 0.0 μB per formula unit.

CdIn3Se4: optimized geometry, PBE-GGA.

It has space group Pmn2_1 (No. 31), with a = 9.8837 Å, b = 7.6766 Å, c = 7.0522 Å, α = 90.00°, β = 90.00° and γ = 90.00°. The asymmetric unit holds Cd at (0.0000, 0.1792, 0.0000), In at (0.0000, 0.8176, 0.5308), In at (0.2477, 0.6755, 0.0135), Se at (0.0000, 0.2182, 0.6202), Se at (0.0000, 0.8314, 0.0751) and Se at (0.2185, 0.3462, 0.1344).

The value obtained for the raw total energy is -3.29 eV per atom. The calculation puts the energy relative to the elements, uncorrected at -0.4017 eV per atom. The crystal system is orthorhombic. Its magnetization is 0.0 μB per formula unit.

CdInSe2: optimized geometry, PBE-GGA.

It has space group F-43m (No. 216), with a = 7.2161 Å, b = 7.2161 Å, c = 7.2161 Å, α = 90.00°, β = 90.00° and γ = 90.00°. The asymmetric unit holds Cd at (0.0000, 0.0000, 0.0000), In at (0.2500, 0.2500, 0.7500), Se at (0.0000, 0.0000, 0.5000) and Se at (0.2500, 0.2500, 0.2500).

The value obtained for the raw total energy is -2.53 eV per atom. The calculation puts the energy relative to the elements, uncorrected at 0.1292 eV per atom. The crystal system is cubic. Its magnetization is 0.0 μB per formula unit.

CdIn2Se2: optimized geometry, PBE-GGA.

It has space group P4/mbm (No. 127), with a = 8.1270 Å, b = 8.1270 Å, c = 4.0915 Å, α = 90.00°, β = 90.00° and γ = 90.00°. The asymmetric unit holds Cd at (0.0000, 0.0000, 0.0000), In at (0.1321, 0.3679, 0.5000) and Se at (0.1882, 0.6882, 0.0000).

The value obtained for the raw total energy is -2.83 eV per atom. The calculation puts the energy relative to the elements, uncorrected at -0.1591 eV per atom. As for the distance to the lowest polymorph of the same formula: 70.6 meV per atom. The crystal system is tetragonal. Its magnetization is 0.0 μB per formula unit.

Cd12In5Se3: optimized geometry, PBE-GGA.

It has space group Ia-3d (No. 230), with a = 16.9694 Å, b = 16.9694 Å, c = 16.9694 Å, α = 90.00°, β = 90.00° and γ = 90.00°. The asymmetric unit holds Cd at (0.0215, 0.0848, 0.6492), In at (0.0000, 0.0000, 0.0000), In at (0.0000, 0.2500, 0.3750) and Se at (0.0000, 0.2500, 0.1250).

The value obtained for the raw total energy is -1.69 eV per atom. The calculation puts the energy relative to the elements, uncorrected at 0.0699 eV per atom. The crystal system is cubic. Its magnetization is 0.0 μB per formula unit.

CdInSe2: optimized geometry, PBE-GGA.

It has space group Imm2 (No. 44), with a = 3.7931 Å, b = 3.8490 Å, c = 13.5956 Å, α = 90.00°, β = 90.00° and γ = 90.00°. The asymmetric unit holds Cd at (0.0000, 0.0000, 0.0000), In at (0.0000, 0.5000, 0.7539), Se at (0.0000, 0.0000, 0.4219) and Se at (0.0000, 0.5000, 0.1694).

The value obtained for the raw total energy is -2.97 eV per atom. The calculation puts the energy relative to the elements, uncorrected at -0.3127 eV per atom. The crystal system is orthorhombic. Its magnetization is 0.0 μB per formula unit.

CdInSe2: optimized geometry, PBE-GGA.

It has space group C2/m (No. 12), with a = 7.1292 Å, b = 4.1225 Å, c = 7.0921 Å, α = 90.00°, β = 109.51° and γ = 90.00°. The asymmetric unit holds Cd at (0.0000, 0.0000, 0.0000), In at (0.0000, 0.5000, 0.5000) and Se at (0.2484, 0.5000, 0.2441).

The value obtained for the raw total energy is -3.14 eV per atom. The calculation puts the energy relative to the elements, uncorrected at -0.4798 eV per atom. The crystal system is monoclinic. Its magnetization is 0.0 μB per formula unit.

CdIn3Se: optimized geometry, PBE-GGA.

It has space group Pm-3m (No. 221), with a = 5.4580 Å, b = 5.4580 Å, c = 5.4580 Å, α = 90.00°, β = 90.00° and γ = 90.00°. The asymmetric unit holds Cd at (0.0000, 0.0000, 0.0000), In at (0.0000, 0.0000, 0.5000) and Se at (0.5000, 0.5000, 0.5000).

The value obtained for the raw total energy is -2.29 eV per atom. The calculation puts the energy relative to the elements, uncorrected at 0.2353 eV per atom. As for the distance to the lowest polymorph of the same formula: 0.0 meV per atom. The crystal system is cubic. Its magnetization is 0.0 μB per formula unit.

CdInSe2: optimized geometry, PBE-GGA.

It has space group R3m (No. 160, hexagonal axes), with a = 4.5370 Å, b = 4.5370 Å, c = 21.8355 Å, α = 90.00°, β = 90.00° and γ = 120.00°. The asymmetric unit holds Cd at (0.0000, 0.0000, 0.0000), In at (0.0000, 0.0000, 0.5011), Se at (0.0000, 0.0000, 0.1249) and Se at (0.0000, 0.0000, 0.6289).

The value obtained for the raw total energy is -3.10 eV per atom. The calculation puts the energy relative to the elements, uncorrected at -0.4417 eV per atom. The crystal system is trigonal. Its magnetization is 0.0 μB per formula unit.

CdInSe4: optimized geometry, PBE-GGA.

It has space group F-43m (No. 216), with a = 8.3477 Å, b = 8.3477 Å, c = 8.3477 Å, α = 90.00°, β = 90.00° and γ = 90.00°. The asymmetric unit holds Cd at (0.0000, 0.0000, 0.0000), In at (0.2500, 0.2500, 0.7500) and Se at (0.1268, 0.1268, 0.3732).

The value obtained for the raw total energy is -2.67 eV per atom. The calculation puts the energy relative to the elements, uncorrected at 0.2607 eV per atom. The crystal system is cubic. Its magnetization is 0.0 μB per formula unit.

CdIn2Se2: optimized geometry, PBE-GGA.

It has space group I4/mmm (No. 139), with a = 5.2693 Å, b = 5.2693 Å, c = 9.9189 Å, α = 90.00°, β = 90.00° and γ = 90.00°. The asymmetric unit holds Cd at (0.0000, 0.0000, 0.0000), In at (0.0000, 0.0000, 0.3555) and Se at (0.0000, 0.5000, 0.2500).

The value obtained for the raw total energy is -2.90 eV per atom. The calculation puts the energy relative to the elements, uncorrected at -0.2298 eV per atom. As for the distance to the lowest polymorph of the same formula: 0.0 meV per atom. The crystal system is tetragonal. Its magnetization is 0.0 μB per formula unit.

CdIn3Se: optimized geometry, PBE-GGA.

It has space group Pm-3m (No. 221), with a = 5.6832 Å, b = 5.6832 Å, c = 5.6832 Å, α = 90.00°, β = 90.00° and γ = 90.00°. The asymmetric unit holds Cd at (0.0000, 0.0000, 0.0000), In at (0.0000, 0.5000, 0.5000) and Se at (0.5000, 0.5000, 0.5000).

The value obtained for the raw total energy is -2.24 eV per atom. The calculation puts the energy relative to the elements, uncorrected at 0.2797 eV per atom. As for the distance to the lowest polymorph of the same formula: 44.3 meV per atom. The crystal system is cubic. Its magnetization is 0.0 μB per formula unit.

CdIn4Se: optimized geometry, PBE-GGA.

It has space group F-43m (No. 216), with a = 8.7665 Å, b = 8.7665 Å, c = 8.7665 Å, α = 90.00°, β = 90.00° and γ = 90.00°. The asymmetric unit holds Cd at (0.0000, 0.0000, 0.0000), In at (0.1248, 0.1248, 0.6248) and Se at (0.2500, 0.2500, 0.2500).

The value obtained for the raw total energy is -2.42 eV per atom. The calculation puts the energy relative to the elements, uncorrected at 0.1433 eV per atom. The crystal system is cubic. Its magnetization is 0.0 μB per formula unit.

CdInSe2: optimized geometry, PBE-GGA.

It has space group Cmmm (No. 65), with a = 3.9694 Å, b = 7.8540 Å, c = 7.7299 Å, α = 90.00°, β = 90.00° and γ = 90.00°. The asymmetric unit holds Cd at (0.0000, 0.0000, 0.0000), In at (0.0000, 0.0000, 0.5000) and Se at (0.0000, 0.5000, 0.2457).

The value obtained for the raw total energy is -2.91 eV per atom. The calculation puts the energy relative to the elements, uncorrected at -0.2562 eV per atom. The crystal system is orthorhombic. Its magnetization is 0.0 μB per formula unit.

CdInSe2: optimized geometry, PBE-GGA.

It has space group C2/m (No. 12), with a = 7.9239 Å, b = 7.7320 Å, c = 4.3675 Å, α = 90.00°, β = 116.81° and γ = 90.00°. The asymmetric unit holds Cd at (0.0000, 0.0000, 0.0000), In at (0.0000, 0.5000, 0.0000) and Se at (0.2500, 0.2500, 0.0000).

The value obtained for the raw total energy is -2.91 eV per atom. The calculation puts the energy relative to the elements, uncorrected at -0.2544 eV per atom. The crystal system is monoclinic. Its magnetization is 0.0 μB per formula unit.